(1)
Computed, not measured: crystalline Hf2NbTeC at its relaxed geometry at the GGA-PBE level of DFT.

Structure (CIF):
```
data_Hf2NbTeC
_space_group_name_H-M_alt 'P 4/m m m'
_space_group_IT_number 123
_space_group_name_Hall '-P 4 2'
_cell_length_a 4.367
_cell_length_b 4.367
_cell_length_c 4.969
_cell_angle_alpha 90.00
_cell_angle_beta 90.00
_cell_angle_gamma 90.00
loop_
_atom_site_label
_atom_site_type_symbol
_atom_site_fract_x
_atom_site_fract_y
_atom_site_fract_z
Hf1 Hf 0.000 0.500 0.000
Nb1 Nb 0.000 0.000 0.500
Te1 Te 0.500 0.500 0.500
C1 C 0.500 0.500 0.000
```

Output
Calculated density: 10.3 g cm⁻³
E_form (uncorrected): 0.215 eV per atom

(2)
Computed, not measured: crystalline Hf2ThNbC4 at its relaxed geometry at the GGA-PBE level of DFT.

Structure (CIF):
```
data_Hf2ThNbC4
_space_group_name_H-M_alt 'C m c m'
_space_group_IT_number 63
_space_group_name_Hall '-C 2c 2'
_cell_length_a 3.402
_cell_length_b 11.817
_cell_length_c 11.801
_cell_angle_alpha 90.00
_cell_angle_beta 90.00
_cell_angle_gamma 90.00
loop_
_atom_site_label
_atom_site_type_symbol
_atom_site_fract_x
_atom_site_fract_y
_atom_site_fract_z
Hf1 Hf 0.000 0.130 0.034
Th1 Th 0.000 0.380 0.250
Nb1 Nb 0.000 0.353 0.750
C1 C 0.000 0.043 0.250
C2 C 0.000 0.244 0.614
C3 C 0.000 0.500 0.000
```

Output
Calculated density: 10.2 g cm⁻³
DFT formation energy: -2.96 eV/f.u.